# 1
The following is a GGA-PBE calculation of an optimized crystal structure of TmCoCl6, from OQMD.

Values from the calculation:
ρ ... 3.564 g/cm3
DFT total energy ... -4.21 eV per atom

The structure in CIF format:
```
data_TmCoCl6
_cell_length_a 6.287
_cell_length_b 10.873
_cell_length_c 6.363
_cell_angle_alpha 90.00
_cell_angle_beta 109.30
_cell_angle_gamma 90.00
_space_group_name_H-M_alt 'C 1 2 1'
_space_group_IT_number 5
_space_group_name_Hall 'C 2y'
loop_
_atom_site_label
_atom_site_fract_x
_atom_site_fract_y
_atom_site_fract_z
Tm1 0.000 0.000 0.000
Co1 0.000 0.667 0.000
Cl1 0.218 0.666 0.778
Cl2 0.218 0.814 0.227
Cl3 0.224 0.522 0.226
```

---

# 2
The following is a GGA-PBE calculation of an optimized crystal structure of LaErZn2As2O2, from OQMD.

Values from the calculation:
ρ ... 7.143 g/cm3
DFT total energy ... -5.75 eV per atom

The structure in CIF format:
```
data_LaErZn2As2O2
_cell_length_a 4.007
_cell_length_b 4.007
_cell_length_c 8.959
_cell_angle_alpha 90.00
_cell_angle_beta 90.00
_cell_angle_gamma 90.00
_space_group_name_H-M_alt 'P 4 m m'
_space_group_IT_number 99
_space_group_name_Hall 'P 4 -2'
loop_
_atom_site_label
_atom_site_fract_x
_atom_site_fract_y
_atom_site_fract_z
La1 0.000 0.000 0.000
Er1 0.500 0.500 0.745
Zn1 0.000 0.500 0.368
As1 0.000 0.000 0.546
As2 0.500 0.500 0.187
O1 0.000 0.500 0.856
```

---

# 3
The following is a GGA-PBE calculation of an optimized crystal structure of Zr5Co, from OQMD.

Values from the calculation:
ρ ... 6.869 g/cm3
Formation energy from the elements ... 0.171 eV/atom

The structure in CIF format:
```
data_Zr5Co
_cell_length_a 5.3279
_cell_length_b 5.3279
_cell_length_c 5.0650
_cell_angle_alpha 90.00
_cell_angle_beta 90.00
_cell_angle_gamma 120.00
_space_group_name_H-M_alt 'P -6 2 m'
_space_group_IT_number 189
_space_group_name_Hall 'P -6 -2'
loop_
_atom_site_label
_atom_site_fract_x
_atom_site_fract_y
_atom_site_fract_z
Zr1 0.0000 0.3132 0.0000
Zr2 0.3333 0.6667 0.5000
Co1 0.0000 0.0000 0.5000
```

---

# 4
The following is a GGA-PBE calculation of an optimized crystal structure of Ho3Bi2Sb, from OQMD.

Values from the calculation:
ρ ... 9.396 g/cm3
DFT total energy ... -5.26 eV per atom

The structure in CIF format:
```
data_Ho3Bi2Sb
_cell_length_a 4.4127
_cell_length_b 4.4127
_cell_length_c 10.8424
_cell_angle_alpha 90.00
_cell_angle_beta 90.00
_cell_angle_gamma 120.00
_space_group_name_H-M_alt 'P -3 m 1'
_space_group_IT_number 164
_space_group_name_Hall '-P 3 2"'
loop_
_atom_site_label
_atom_site_fract_x
_atom_site_fract_y
_atom_site_fract_z
Ho1 0.0000 0.0000 0.0000
Ho2 0.3333 0.6667 0.6616
Bi1 0.3333 0.6667 0.1684
Sb1 0.0000 0.0000 0.5000
```

---

# 5
The following is a GGA-PBE calculation of an optimized crystal structure of CsSmSnS3, from OQMD.

Values from the calculation:
Polymorph energy (0 for the lowest one) ... 0.00 eV per formula unit
ρ ... 4.104 g/cm3

The structure in CIF format:
```
data_CsSmSnS3
_cell_length_a 16.152
_cell_length_b 4.129
_cell_length_c 12.092
_cell_angle_alpha 90.00
_cell_angle_beta 90.00
_cell_angle_gamma 90.00
_space_group_name_H-M_alt 'P n m a'
_space_group_IT_number 62
_space_group_name_Hall '-P 2ac 2n'
loop_
_atom_site_label
_atom_site_fract_x
_atom_site_fract_y
_atom_site_fract_z
Cs1 0.234 0.250 0.094
Sm1 0.003 0.750 0.644
Sn1 0.040 0.250 0.906
S1 0.078 0.750 0.232
S2 0.093 0.250 0.545
S3 0.122 0.750 0.820
```

---

# 6
The following is a GGA-PBE calculation of an optimized crystal structure of CsErHgTe3, from OQMD.

Values from the calculation:
ρ ... 6.314 g/cm3
DFT total energy ... -3.48 eV per atom

The structure in CIF format:
```
data_CsErHgTe3
_cell_length_a 9.527
_cell_length_b 4.520
_cell_length_c 11.601
_cell_angle_alpha 90.00
_cell_angle_beta 111.54
_cell_angle_gamma 90.00
_space_group_name_H-M_alt 'P 1 21/m 1'
_space_group_IT_number 11
_space_group_name_Hall '-P 2yb'
loop_
_atom_site_label
_atom_site_fract_x
_atom_site_fract_y
_atom_site_fract_z
Cs1 0.248 0.250 0.213
Er1 0.177 0.750 0.636
Hg1 0.421 0.250 0.882
Te1 0.039 0.750 0.358
Te2 0.257 0.750 0.933
Te3 0.403 0.250 0.636
```

---

# 7
The following is a GGA-PBE calculation of an optimized crystal structure of Tm2Si4IrPd, from OQMD.

Values from the calculation:
ρ ... 8.788 g/cm3
DFT total energy ... -6.42 eV per atom

The structure in CIF format:
```
data_Tm2Si4IrPd
_cell_length_a 4.185
_cell_length_b 4.026
_cell_length_c 16.797
_cell_angle_alpha 90.00
_cell_angle_beta 90.00
_cell_angle_gamma 90.00
_space_group_name_H-M_alt 'A m m 2'
_space_group_IT_number 38
_space_group_name_Hall 'A 2 -2'
loop_
_atom_site_label
_atom_site_fract_x
_atom_site_fract_y
_atom_site_fract_z
Tm1 0.000 0.000 0.000
Tm2 0.500 0.000 0.206
Si1 0.000 0.000 0.355
Si2 0.000 0.000 0.639
Si3 0.500 0.000 0.571
Si4 0.500 0.000 0.849
Ir1 0.000 0.000 0.779
Pd1 0.500 0.000 0.431
```

---

# 8
The following is a GGA-PBE calculation of an optimized crystal structure of TcGeAsO, from OQMD.

Values from the calculation:
Polymorph energy (0 for the lowest one) ... 1.77 eV per formula unit
ρ ... 7.216 g/cm3

The structure in CIF format:
```
data_TcGeAsO
_cell_length_a 3.418
_cell_length_b 3.418
_cell_length_c 10.305
_cell_angle_alpha 90.00
_cell_angle_beta 90.00
_cell_angle_gamma 90.00
_space_group_name_H-M_alt 'P 4/n m m'
_space_group_IT_number 129
loop_
_space_group_symop_operation_xyz
'x,y,z'
'-x,-y,-z'
'-y+1/2,x,z'
'y+1/2,-x,-z'
'-x+1/2,-y+1/2,z'
'x+1/2,y+1/2,-z'
'y,-x+1/2,z'
'-y,x+1/2,-z'
'x+1/2,-y,-z'
'-x+1/2,y,z'
'-y,-x,-z'
'y,x,z'
'-x,y+1/2,-z'
'x,-y+1/2,z'
'y+1/2,x+1/2,-z'
'-y+1/2,-x+1/2,z'
loop_
_atom_site_label
_atom_site_fract_x
_atom_site_fract_y
_atom_site_fract_z
Tc1 0.250 0.250 0.122
Ge1 0.250 0.750 0.500
As1 0.250 0.250 0.750
O1 0.250 0.750 0.000
```

---

# 9
The following is a GGA-PBE calculation of an optimized crystal structure of Hg3AsO4, from OQMD.

Values from the calculation:
Polymorph energy (0 for the lowest one) ... 0.07 eV per formula unit
ρ ... 8.911 g/cm3

The structure in CIF format:
```
data_Hg3AsO4
_cell_length_a 8.784
_cell_length_b 5.139
_cell_length_c 14.496
_cell_angle_alpha 90.00
_cell_angle_beta 122.46
_cell_angle_gamma 90.00
_space_group_name_H-M_alt 'P 1 21/c 1'
_space_group_IT_number 14
_space_group_name_Hall '-P 2ybc'
loop_
_atom_site_label
_atom_site_fract_x
_atom_site_fract_y
_atom_site_fract_z
Hg1 0.044 0.149 0.083
Hg2 0.277 0.160 0.462
Hg3 0.438 0.668 0.123
As1 0.237 0.646 0.277
O1 0.055 0.535 0.154
O2 0.227 0.551 0.387
O3 0.236 0.519 0.772
O4 0.435 0.537 0.289
```

---

# 10
The following is a GGA-PBE calculation of an optimized crystal structure of BaNb2Bi2O9, from OQMD.

Values from the calculation:
Polymorph energy (0 for the lowest one) ... 0.33 eV per formula unit
ρ ... 7.570 g/cm3

The structure in CIF format:
```
data_BaNb2Bi2O9
_cell_length_a 3.960
_cell_length_b 3.960
_cell_length_c 24.765
_cell_angle_alpha 90.00
_cell_angle_beta 90.00
_cell_angle_gamma 90.00
_space_group_name_H-M_alt 'I 4/m m m'
_space_group_IT_number 139
_space_group_name_Hall '-I 4 2'
loop_
_atom_site_label
_atom_site_fract_x
_atom_site_fract_y
_atom_site_fract_z
Ba1 0.000 0.000 0.000
Nb1 0.000 0.000 0.410
Bi1 0.000 0.000 0.201
O1 0.000 0.000 0.334
O2 0.000 0.000 0.500
O3 0.000 0.500 0.082
O4 0.000 0.500 0.250
```

---

# 11
The following is a GGA-PBE calculation of an optimized crystal structure of GdGe3Pd, from OQMD.

Values from the calculation:
ρ ... 7.938 g/cm3
DFT total energy ... -5.32 eV per atom

The structure in CIF format:
```
data_GdGe3Pd
_cell_length_a 4.264
_cell_length_b 22.565
_cell_length_c 4.188
_cell_angle_alpha 90.00
_cell_angle_beta 90.00
_cell_angle_gamma 90.00
_space_group_name_H-M_alt 'C m m m'
_space_group_IT_number 65
_space_group_name_Hall '-C 2 2'
loop_
_atom_site_label
_atom_site_fract_x
_atom_site_fract_y
_atom_site_fract_z
Gd1 0.000 0.170 0.000
Ge1 0.000 0.055 0.500
Ge2 0.000 0.279 0.500
Ge3 0.000 0.445 0.000
Pd1 0.000 0.386 0.500
```

---

# 12
The following is a GGA-PBE calculation of an optimized crystal structure of Tm3P2S, from OQMD.

Values from the calculation:
Polymorph energy (0 for the lowest one) ... 0.00 eV per formula unit
ρ ... 7.858 g/cm3

The structure in CIF format:
```
data_Tm3P2S
_cell_length_a 3.917
_cell_length_b 5.525
_cell_length_c 11.732
_cell_angle_alpha 90.00
_cell_angle_beta 90.00
_cell_angle_gamma 90.00
_space_group_name_H-M_alt 'I m m m'
_space_group_IT_number 71
_space_group_name_Hall '-I 2 2'
loop_
_atom_site_label
_atom_site_fract_x
_atom_site_fract_y
_atom_site_fract_z
Tm1 0.000 0.000 0.000
Tm2 0.000 0.000 0.329
P1 0.000 0.500 0.334
S1 0.000 0.500 0.000
```

---

- Look up the ρ of the seventh one.
  8.788 g/cm3

---

- What is the formula in the fifth record?
  CsSmSnS3

---

Repeat the eighth record exactly.
The following is a GGA-PBE calculation of an optimized crystal structure of TcGeAsO, from OQMD.

Values from the calculation:
Polymorph energy (0 for the lowest one) ... 1.77 eV per formula unit
ρ ... 7.216 g/cm3

The structure in CIF format:
```
data_TcGeAsO
_cell_length_a 3.418
_cell_length_b 3.418
_cell_length_c 10.305
_cell_angle_alpha 90.00
_cell_angle_beta 90.00
_cell_angle_gamma 90.00
_space_group_name_H-M_alt 'P 4/n m m'
_space_group_IT_number 129
loop_
_space_group_symop_operation_xyz
'x,y,z'
'-x,-y,-z'
'-y+1/2,x,z'
'y+1/2,-x,-z'
'-x+1/2,-y+1/2,z'
'x+1/2,y+1/2,-z'
'y,-x+1/2,z'
'-y,x+1/2,-z'
'x+1/2,-y,-z'
'-x+1/2,y,z'
'-y,-x,-z'
'y,x,z'
'-x,y+1/2,-z'
'x,-y+1/2,z'
'y+1/2,x+1/2,-z'
'-y+1/2,-x+1/2,z'
loop_
_atom_site_label
_atom_site_fract_x
_atom_site_fract_y
_atom_site_fract_z
Tc1 0.250 0.250 0.122
Ge1 0.250 0.750 0.500
As1 0.250 0.250 0.750
O1 0.250 0.750 0.000
```